# 1
Compound: LiAgSb2
Source: Alexandria
Functional: PBE
Structure: relaxed

Results
Total magnetic moment = 0.000 μB per cell
SG = P4mm
ΔE_f (raw) = -0.07 eV per atom
Calculated volume = 95 Å³ per cell
Calculated density = 6.3 g/cm3

Cell: 4.0876 4.0876 5.6638 Å, 90.00 90.00 90.00°
Positions (direct):
Ag: 0.0000 0.0000 0.5201
Li: 0.5000 0.5000 0.7349
Sb: 0.0000 0.0000 0.0119
Sb: 0.5000 0.5000 0.2331

***

# 2
Compound: Li2Ag2Sb
Source: Alexandria
Functional: PBE
Structure: relaxed

Results
Total magnetic moment = 0.000 μB per cell
SG = P2_1/m
ΔE_f (raw) = -0.23 eV per atom
Calculated volume = 186 Å³ per cell
Calculated density = 6.3 g/cm3

Cell: 4.8840 4.9863 8.0152 Å, 107.88 90.00 90.00°
Positions (direct):
Li: 0.7500 0.2436 0.8163
Li: 0.2500 0.7564 0.1837
Li: 0.7500 0.0324 0.3951
Li: 0.2500 0.9676 0.6049
Ag: 0.7500 0.6465 0.6001
Ag: 0.2500 0.3535 0.3999
Ag: 0.7500 0.8422 0.0004
Ag: 0.2500 0.1578 0.9996
Sb: 0.7500 0.4399 0.2084
Sb: 0.2500 0.5601 0.7916